# PBE-GGA Dy4Al12Cd, relaxed
data_Dy4Al12Cd
_chemical_formula_sum 'Dy8 Al24 Cd2'
_space_group_name_H-M_alt 'I m -3 m'
_space_group_IT_number 229
_space_group_name_Hall '-I 4 2 3'
_cell_length_a 8.770
_cell_length_b 8.770
_cell_length_c 8.770
_cell_angle_alpha 90.00
_cell_angle_beta 90.00
_cell_angle_gamma 90.00
loop_
_atom_site_label
_atom_site_type_symbol
_atom_site_fract_x
_atom_site_fract_y
_atom_site_fract_z
Dy1 Dy 0.250 0.250 0.250
Al1 Al 0.000 0.000 0.313
Al2 Al 0.000 0.250 0.500
Cd1 Cd 0.000 0.000 0.000
# Magnetization   0.0000 μB/atom
# Uncorrected energy   -4.15 eV per atom
# Fermi-level density of states   0.384 states/eV per atom

***

# PBE-GGA Dy3AlCd2, relaxed
data_Dy3AlCd2
_chemical_formula_sum 'Dy3 Al1 Cd2'
_space_group_name_H-M_alt 'P -3 m 1'
_space_group_IT_number 164
_space_group_name_Hall '-P 3 2"'
_cell_length_a 5.2282
_cell_length_b 5.2282
_cell_length_c 6.4249
_cell_angle_alpha 90.00
_cell_angle_beta 90.00
_cell_angle_gamma 120.00
loop_
_atom_site_label
_atom_site_type_symbol
_atom_site_fract_x
_atom_site_fract_y
_atom_site_fract_z
Dy1 Dy 0.0000 0.0000 0.0000
Dy2 Dy 0.3333 0.6667 0.6584
Al1 Al 0.0000 0.0000 0.5000
Cd1 Cd 0.3333 0.6667 0.1591
# Polymorph energy (0 for the lowest one)   0.7 kJ per mole of atoms
# Magnetization   0.0000 μB/atom
# Fermi-level density of states   1.183 states/eV per atom

***

# PBE-GGA Dy6AlCd3, relaxed
data_Dy6AlCd3
_chemical_formula_sum 'Dy12 Al2 Cd6'
_space_group_name_H-M_alt 'P 1 21/m 1'
_space_group_IT_number 11
_cell_length_a 9.268
_cell_length_b 5.226
_cell_length_c 11.539
_cell_angle_alpha 90.00
_cell_angle_beta 107.02
_cell_angle_gamma 90.00
loop_
_space_group_symop_operation_xyz
'x,y,z'
'-x,-y,-z'
'-x,y+1/2,-z'
'x,-y+1/2,z'
loop_
_atom_site_label
_atom_site_type_symbol
_atom_site_fract_x
_atom_site_fract_y
_atom_site_fract_z
Dy1 Dy 0.033 0.250 0.409
Dy2 Dy 0.160 0.750 0.174
Dy3 Dy 0.267 0.250 0.005
Dy4 Dy 0.346 0.750 0.821
Dy5 Dy 0.371 0.250 0.334
Dy6 Dy 0.394 0.250 0.623
Al1 Al 0.456 0.750 0.107
Cd1 Cd 0.028 0.750 0.879
Cd2 Cd 0.117 0.250 0.722
Cd3 Cd 0.273 0.750 0.471
# Magnetization   0.0000 μB/atom
# Uncorrected energy   -3.65 eV per atom
# Fermi-level density of states   0.889 states/eV per atom

***

# PBE-GGA Dy12Al3Cd, relaxed
data_Dy12Al3Cd
_chemical_formula_sum 'Dy12 Al3 Cd1'
_space_group_name_H-M_alt 'P 4/m m m'
_space_group_IT_number 123
_space_group_name_Hall '-P 4 2'
_cell_length_a 4.778
_cell_length_b 4.778
_cell_length_c 19.117
_cell_angle_alpha 90.00
_cell_angle_beta 90.00
_cell_angle_gamma 90.00
loop_
_atom_site_label
_atom_site_type_symbol
_atom_site_fract_x
_atom_site_fract_y
_atom_site_fract_z
Dy1 Dy 0.000 0.000 0.000
Dy2 Dy 0.000 0.000 0.248
Dy3 Dy 0.000 0.000 0.500
Dy4 Dy 0.000 0.500 0.124
Dy5 Dy 0.000 0.500 0.370
Al1 Al 0.500 0.500 0.000
Al2 Al 0.500 0.500 0.248
Cd1 Cd 0.500 0.500 0.500
# Magnetization   0.0000 μB/atom
# Uncorrected energy   -4.37 eV per atom
# Fermi-level density of states   1.446 states/eV per atom

***

# PBE-GGA Dy12AlCd3, relaxed
data_Dy12AlCd3
_chemical_formula_sum 'Dy12 Al1 Cd3'
_space_group_name_H-M_alt 'P 4/m m m'
_space_group_IT_number 123
_space_group_name_Hall '-P 4 2'
_cell_length_a 4.821
_cell_length_b 4.821
_cell_length_c 19.261
_cell_angle_alpha 90.00
_cell_angle_beta 90.00
_cell_angle_gamma 90.00
loop_
_atom_site_label
_atom_site_type_symbol
_atom_site_fract_x
_atom_site_fract_y
_atom_site_fract_z
Dy1 Dy 0.000 0.000 0.000
Dy2 Dy 0.000 0.000 0.249
Dy3 Dy 0.000 0.000 0.500
Dy4 Dy 0.000 0.500 0.121
Dy5 Dy 0.000 0.500 0.374
Al1 Al 0.500 0.500 0.000
Cd1 Cd 0.500 0.500 0.248
Cd2 Cd 0.500 0.500 0.500
# Magnetization   0.0048 μB/atom
# Uncorrected energy   -3.97 eV per atom
# Fermi-level density of states   1.492 states/eV per atom

***

# PBE-GGA Dy12Al5Cd3, relaxed
data_Dy12Al5Cd3
_chemical_formula_sum 'Dy96 Al40 Cd24'
_space_group_name_H-M_alt 'I a -3 d'
_space_group_IT_number 230
_space_group_name_Hall '-I 4bd 2c 3'
_cell_length_a 17.528
_cell_length_b 17.528
_cell_length_c 17.528
_cell_angle_alpha 90.00
_cell_angle_beta 90.00
_cell_angle_gamma 90.00
loop_
_atom_site_label
_atom_site_type_symbol
_atom_site_fract_x
_atom_site_fract_y
_atom_site_fract_z
Dy1 Dy 0.017 0.072 0.647
Al1 Al 0.000 0.000 0.000
Al2 Al 0.000 0.250 0.375
Cd1 Cd 0.000 0.250 0.125
# Magnetization   0.0001 μB/atom
# Uncorrected energy   -3.47 eV per atom
# Fermi-level density of states   1.584 states/eV per atom

***

Question: Which of these has the highest magnetization?
Answer: Dy12AlCd3

***

Copy entry 6 word for word.
# PBE-GGA Dy12Al5Cd3, relaxed
data_Dy12Al5Cd3
_chemical_formula_sum 'Dy96 Al40 Cd24'
_space_group_name_H-M_alt 'I a -3 d'
_space_group_IT_number 230
_space_group_name_Hall '-I 4bd 2c 3'
_cell_length_a 17.528
_cell_length_b 17.528
_cell_length_c 17.528
_cell_angle_alpha 90.00
_cell_angle_beta 90.00
_cell_angle_gamma 90.00
loop_
_atom_site_label
_atom_site_type_symbol
_atom_site_fract_x
_atom_site_fract_y
_atom_site_fract_z
Dy1 Dy 0.017 0.072 0.647
Al1 Al 0.000 0.000 0.000
Al2 Al 0.000 0.250 0.375
Cd1 Cd 0.000 0.250 0.125
# Magnetization   0.0001 μB/atom
# Uncorrected energy   -3.47 eV per atom
# Fermi-level density of states   1.584 states/eV per atom